Entry 1:
VASP calculation (GGA-PBE) on an optimized crystal structure of SnMo2H.

Results
Space-group type: I4_1/amd (141)

Cell: 5.023 5.023 6.158 Å, 65.93 65.93 90.00°
Fractional coordinates of all 8 atoms:
H1 0.500 0.500 0.000
H2 0.250 0.750 0.500
Mo1 0.375 0.125 0.250
Mo2 0.375 0.625 0.250
Mo3 0.375 0.625 0.750
Mo4 0.875 0.625 0.750
Sn1 0.000 0.000 0.000
Sn2 0.750 0.250 0.500



Entry 2:
VASP calculation (GGA-PBE) on an optimized crystal structure of TcSnMo2H.

Results
Space-group type: P4/mmm (123)

Cell: 4.036 4.036 4.204 Å, 90.00 90.00 90.00°
Fractional coordinates of all 5 atoms:
H1 0.000 0.000 0.000
Mo1 0.000 0.500 0.000
Mo2 0.500 0.000 0.000
Sn1 0.500 0.500 0.500
Tc1 0.000 0.000 0.500



Entry 3:
VASP calculation (GGA-PBE) on an optimized crystal structure of TcSnMo2H.

Results
Space-group type: P4/mmm (123)

Cell: 5.227 5.070 5.227 Å, 90.00 90.00 90.00°
Each line ends with the local moment (μB).
Fractional coordinates of all 5 atoms:
H1 0.500 0.500 0.500  -0.12
Mo1 0.000 0.000 0.500  3.02
Mo2 0.500 0.000 0.000  2.64
Sn1 0.000 0.000 0.000  -0.03
Tc1 0.000 0.500 0.000  -2.58



no.,Fermi-level density of states (states/eV/atom),energy above the most stable polymorph in this dataset (meV/atom)
1,0.935,357
2,1.025,0
3,1.071,2496